The following is a PBE calculation of a geometry-optimized Tm6Cd5Ag structure, from Alexandria.

POSCAR file:
```
Tm6Cd5Ag
1.0
5.192 0.000 0.000
0.000 7.366 0.000
-2.572 0.000 7.807
Tm Cd Ag
6 5 1
direct
0.000 0.244 0.000
0.000 0.756 0.000
0.336 0.248 0.672
0.336 0.752 0.672
0.664 0.248 0.328
0.664 0.752 0.328
0.168 0.500 0.336
0.169 0.000 0.339
0.500 0.500 0.000
0.831 0.000 0.661
0.832 0.500 0.664
0.500 0.000 0.000
```

V = 299 Å³/cell
Spin magnetization = 0.000 μB/atom
ΔH_f (0 K) = -3.73 eV per formula unit
Electronic total energy = -3.1655 eV/atom